Record 1
Here is ReRuAu2 after structural relaxation from Alexandria via LeMat-Bulk. Energies are from PBE.

As for the crystal system: orthorhombic. The formation enthalpy at 0 K comes out at 61.5 kJ per mole of atoms. The excess energy over the best structure of this formula in the dataset comes out at 46.1 kJ per mole of atoms.

It has space group Pmmm (No. 47), with a = 2.8352 Å, b = 4.6804 Å, c = 4.9265 Å, α = 90.00°, β = 90.00° and γ = 90.00°. The asymmetric unit holds Re at (0.0000, 0.0000, 0.0000), Ru at (0.5000, 0.5000, 0.0000), Au at (0.0000, 0.5000, 0.5000) and Au at (0.5000, 0.0000, 0.5000).

Record 2
Here is ZrCdAg2 after structural relaxation from Alexandria via LeMat-Bulk. Energies are from PBE.

As for the crystal system: tetragonal. The formation enthalpy at 0 K comes out at -2.5 kJ per mole of atoms.

It has space group P4/mmm (No. 123), with a = 3.2021 Å, b = 3.2021 Å, c = 7.7443 Å, α = 90.00°, β = 90.00° and γ = 90.00°. The asymmetric unit holds Zr at (0.0000, 0.0000, 0.0000), Cd at (0.0000, 0.0000, 0.5000) and Ag at (0.5000, 0.5000, 0.2562).

Record 3
Here is CuAs2PBr after structural relaxation from Alexandria via LeMat-Bulk. Energies are from PBE.

As for the crystal system: tetragonal. The excess energy over the best structure of this formula in the dataset comes out at 1.1 kJ per mole of atoms. The uncorrected formation energy is 4.4 eV/f.u.

It has space group P4/mmm (No. 123), with a = 4.7754 Å, b = 4.7754 Å, c = 5.0778 Å, α = 90.00°, β = 90.00° and γ = 90.00°. The asymmetric unit holds Cu at (0.0000, 0.0000, 0.0000), As at (0.0000, 0.5000, 0.5000), P at (0.5000, 0.5000, 0.5000) and Br at (0.5000, 0.5000, 0.0000).

Record 4
Here is Y3GaO2 after structural relaxation from Alexandria via LeMat-Bulk. Energies are from PBE.

As for the crystal system: orthorhombic. The uncorrected formation energy is -12.6 eV/f.u.

It has space group Cmcm (No. 63), with a = 8.8027 Å, b = 10.9817 Å, c = 5.4132 Å, α = 90.00°, β = 90.00° and γ = 90.00°. The asymmetric unit holds Y at (0.0000, 0.1014, 0.2500), Y at (0.2006, 0.3919, 0.2500), Ga at (0.0000, 0.3146, 0.7500) and O at (0.1587, 0.0000, 0.0000).

Record 5
Here is CaY2Sc2 after structural relaxation from Alexandria via LeMat-Bulk. Energies are from PBE.

As for the crystal system: tetragonal. The formation enthalpy at 0 K comes out at 12.5 kJ per mole of atoms. The excess energy over the best structure of this formula in the dataset comes out at 2.1 kJ per mole of atoms.

It has space group P4/mbm (No. 127), with a = 9.2507 Å, b = 9.2507 Å, c = 3.5825 Å, α = 90.00°, β = 90.00° and γ = 90.00°. The asymmetric unit holds Ca at (0.0000, 0.0000, 0.0000), Y at (0.1284, 0.3716, 0.0000) and Sc at (0.1670, 0.6670, 0.5000).

Record 6
Here is Li2AlAg after structural relaxation from Alexandria via LeMat-Bulk. Energies are from PBE.

As for the crystal system: monoclinic. The formation enthalpy at 0 K comes out at -17.3 kJ per mole of atoms.

It has space group C2/m (No. 12), with a = 10.3917 Å, b = 3.0436 Å, c = 4.4991 Å, α = 90.00°, β = 115.55° and γ = 90.00°. The asymmetric unit holds Li at (0.2443, 0.0000, 0.2444), Al at (0.0000, 0.0000, 0.5000) and Ag at (0.0000, 0.5000, 0.0000).

no.,volume (Å³/atom),mass density (g/cm3)
1,16.34,17.3
2,19.85,8.8
3,23.16,4.6
4,21.80,4.7
5,30.66,3.3
6,16.05,3.8